1.
The following is a GGA-PBEsol calculation of crystalline ScInCu2 at its relaxed geometry, from the Alexandria database.

a = 4.472 Å, b = 4.495 Å, c = 4.472 Å
α = 60.17°, β = 90.00°, γ = 119.83°
Element x y z (fractional)
1 Cu 0.000 0.000 0.000
2 Cu 0.250 0.500 0.250
3 In 0.500 0.000 0.500
4 Sc 0.750 0.500 0.750

Output
Final energy   -4.72 eV per atom
Space group   I-4m2
ΔH_f (0 K)   -0.64 eV/f.u.


2.
The following is a GGA-PBEsol calculation of crystalline CdOsBr2 at its relaxed geometry, from the Alexandria database.

a = 3.043 Å, b = 3.227 Å, c = 9.975 Å
α = 90.00°, β = 90.00°, γ = 118.13°
Element x y z (fractional)
1 Os 0.500 0.000 0.000
2 Br 0.000 0.000 0.802
3 Br 0.000 0.000 0.198
4 Cd 0.500 0.000 0.500

Output
Final energy   -3.70 eV per atom
Space group   Cmmm
Energy relative to the lowest polymorph listed for this composition   128 meV/atom
E_form (uncorrected)   593 meV/atom


3.
The following is a GGA-PBEsol calculation of crystalline Ni2HgWF at its relaxed geometry, from the Alexandria database.

a = 4.637 Å, b = 4.637 Å, c = 5.143 Å
α = 90.00°, β = 90.00°, γ = 90.00°
Last column: magnetic moment on the atom in μB.
Element x y z (fractional)
1 Ni 0.000 0.500 0.000  0.60
2 Ni 0.500 0.000 0.000  0.60
3 Hg 0.000 0.000 0.000  0.04
4 W 0.000 0.000 0.500  2.48
5 F 0.500 0.500 0.500  -0.04

Output
Final energy   -3.70 eV per atom
Space group   P4/mmm
E_form (uncorrected)   2021 meV/atom


4.
The following is a GGA-PBEsol calculation of crystalline Sc3BMo at its relaxed geometry, from the Alexandria database.

a = 4.524 Å, b = 4.524 Å, c = 4.524 Å
α = 90.00°, β = 90.00°, γ = 90.00°
Element x y z (fractional)
1 Sc 0.000 0.500 0.000
2 Sc 0.000 0.000 0.500
3 Sc 0.500 0.000 0.000
4 Mo 0.500 0.500 0.500
5 B 0.000 0.000 0.000

Output
Final energy   -7.35 eV per atom
Space group   Pm-3m
ΔH_f (0 K)   1.85 eV/f.u.


5.
The following is a GGA-PBEsol calculation of crystalline SiAgPt5 at its relaxed geometry, from the Alexandria database.

a = 3.900 Å, b = 3.900 Å, c = 7.039 Å
α = 90.00°, β = 90.00°, γ = 90.00°
Element x y z (fractional)
1 Si 0.000 0.000 0.500
2 Ag 0.500 0.500 0.000
3 Pt 0.000 0.500 0.294
4 Pt 0.000 0.500 0.706
5 Pt 0.500 0.000 0.294
6 Pt 0.500 0.000 0.706
7 Pt 0.000 0.000 0.000

Output
Final energy   -6.55 eV per atom
Space group   P4/mmm
E_form (uncorrected)   -283 meV/atom


6.
The following is a GGA-PBEsol calculation of crystalline Zn5Pt at its relaxed geometry, from the Alexandria database.

a = 2.801 Å, b = 4.271 Å, c = 7.114 Å
α = 90.00°, β = 101.36°, γ = 90.00°
Element x y z (fractional)
1 Zn 0.776 0.500 0.553
2 Zn 0.665 0.000 0.329
3 Zn 0.445 0.500 0.890
4 Zn 0.334 0.000 0.668
5 Zn 0.113 0.500 0.225
6 Pt 0.001 0.000 0.001

Output
Final energy   -2.70 eV per atom
Space group   Amm2
ΔH_f (0 K)   -1.35 eV/f.u.


Question: Number 4 is which compound?
Answer: Sc3BMo